1.
# KHfAgSeS2

KHfAgSeS2 after structural relaxation (PBE-GGA, OQMD).

Calculated values
V ... 24.212 Å³/atom
Electronic total energy ... -65.0 eV/cell
SG ... P2_1/m

a = 8.133 Å, b = 3.886 Å, c = 9.782 Å
α = 90.00°, β = 109.98°, γ = 90.00°
Positions (direct):
Ag 0.075 0.250 0.107
Ag 0.925 0.750 0.893
Hf 0.317 0.750 0.343
Hf 0.683 0.250 0.657
K 0.734 0.750 0.205
K 0.266 0.250 0.795
S 0.271 0.750 0.075
S 0.540 0.250 0.371
S 0.460 0.750 0.629
S 0.729 0.250 0.925
Se 0.099 0.250 0.377
Se 0.901 0.750 0.623

---

2.
# TcAg2SeS2

TcAg2SeS2 after structural relaxation (PBE-GGA, OQMD).

Calculated values
V ... 22.779 Å³/atom
Electronic total energy ... -56.5 eV/cell
SG ... Cc

a = 6.873 Å, b = 6.873 Å, c = 7.005 Å
α = 99.30°, β = 99.30°, γ = 119.31°
Positions (direct):
Ag 0.156 0.570 0.382
Ag 0.805 0.957 0.415
Ag 0.570 0.156 0.882
Ag 0.957 0.805 0.915
S 0.008 0.487 0.012
S 0.325 0.206 0.094
S 0.487 0.008 0.512
S 0.206 0.325 0.594
Se 0.626 0.837 0.023
Se 0.837 0.626 0.523
Tc 0.452 0.292 0.432
Tc 0.292 0.452 0.932

---

3.
# SiIr

SiIr after structural relaxation (PBE-GGA, OQMD).

Calculated values
V ... 14.434 Å³/atom
Electronic total energy ... -62.6 eV/cell
SG ... Pmc2_1

a = 3.287 Å, b = 6.296 Å, c = 5.580 Å
α = 90.00°, β = 90.00°, γ = 90.00°
Positions (direct):
Ir 0.500 0.956 0.247
Ir 0.000 0.546 0.253
Ir 0.500 0.044 0.747
Ir 0.000 0.454 0.753
Si 0.500 0.314 0.068
Si 0.000 0.187 0.432
Si 0.500 0.686 0.568
Si 0.000 0.813 0.932

---

4.
# LiCuTe3W

LiCuTe3W after structural relaxation (PBE-GGA, OQMD).

Calculated values
V ... 21.804 Å³/atom
Electronic total energy ... -56.5 eV/cell
SG ... Cmcm

a = 7.256 Å, b = 7.256 Å, c = 10.140 Å
α = 90.00°, β = 90.00°, γ = 29.34°
Each line ends with the local moment (μB).
Positions (direct):
Cu 0.534 0.534 0.250  0.01
Cu 0.466 0.466 0.750  0.01
Li 0.226 0.226 0.250  0.00
Li 0.774 0.774 0.750  0.00
Te 0.644 0.644 0.049  0.00
Te 0.904 0.904 0.250  0.00
Te 0.644 0.644 0.451  0.00
Te 0.356 0.356 0.549  0.00
Te 0.096 0.096 0.750  0.00
Te 0.356 0.356 0.951  0.00
W 0.000 0.000 0.000  0.17
W 0.000 0.000 0.500  0.17

---

5.
# AgBiPF

AgBiPF after structural relaxation (PBE-GGA, OQMD).

Calculated values
V ... 17.846 Å³/atom
Electronic total energy ... -33.1 eV/cell
SG ... P4/nmm

a = 3.908 Å, b = 3.908 Å, c = 9.349 Å
α = 90.00°, β = 90.00°, γ = 90.00°
Positions (direct):
Ag 0.500 0.000 0.500
Ag 0.000 0.500 0.500
Bi 0.000 0.000 0.179
Bi 0.500 0.500 0.821
F 0.500 0.000 0.000
F 0.000 0.500 0.000
P 0.500 0.500 0.296
P 0.000 0.000 0.704

---

6.
# GdTm2Mg3Al2Hg

GdTm2Mg3Al2Hg after structural relaxation (PBE-GGA, OQMD).

Calculated values
V ... 23.573 Å³/atom
Electronic total energy ... -29.2 eV/cell
SG ... Amm2

a = 4.515 Å, b = 7.385 Å, c = 7.385 Å
α = 120.50°, β = 90.00°, γ = 90.00°
Positions (direct):
Al 0.500 0.667 0.330
Al 0.500 0.330 0.667
Gd 0.000 0.573 0.573
Hg 0.000 0.005 0.005
Mg 0.500 0.756 0.000
Mg 0.500 0.245 0.245
Mg 0.500 0.000 0.756
Tm 0.000 0.999 0.425
Tm 0.000 0.425 0.999

---

7.
# HoCuIr

HoCuIr after structural relaxation (PBE-GGA, OQMD).

Calculated values
V ... 21.199 Å³/atom
E_form ... 0.253 eV per atom
Electronic total energy ... -16.4 eV/cell
SG ... F-43m

a = 4.480 Å, b = 4.480 Å, c = 4.480 Å
α = 60.00°, β = 60.00°, γ = 60.00°
Positions (direct):
Cu 0.500 0.500 0.500
Ho 0.250 0.250 0.250
Ir 0.000 0.000 0.000

---

8.
# FeCoCu4Si2

FeCoCu4Si2 after structural relaxation (PBE-GGA, OQMD).

Calculated values
V ... 11.350 Å³/atom
Electronic total energy ... -40.3 eV/cell
SG ... P4/mmm

a = 4.002 Å, b = 4.002 Å, c = 5.669 Å
α = 90.00°, β = 90.00°, γ = 90.00°
Each line ends with the local moment (μB).
Positions (direct):
Co 0.000 0.000 0.500  -0.70
Cu 0.500 0.000 0.251  -0.01
Cu 0.000 0.500 0.251  0.02
Cu 0.500 0.000 0.749  -0.01
Cu 0.000 0.500 0.749  0.02
Fe 0.500 0.500 0.000  2.36
Si 0.000 0.000 0.000  0.01
Si 0.500 0.500 0.500  -0.02

---

Copy entry 3 word for word.
# SiIr

SiIr after structural relaxation (PBE-GGA, OQMD).

Calculated values
V ... 14.434 Å³/atom
Electronic total energy ... -62.6 eV/cell
SG ... Pmc2_1

a = 3.287 Å, b = 6.296 Å, c = 5.580 Å
α = 90.00°, β = 90.00°, γ = 90.00°
Positions (direct):
Ir 0.500 0.956 0.247
Ir 0.000 0.546 0.253
Ir 0.500 0.044 0.747
Ir 0.000 0.454 0.753
Si 0.500 0.314 0.068
Si 0.000 0.187 0.432
Si 0.500 0.686 0.568
Si 0.000 0.813 0.932